Crystalline Cu2NiAs at its relaxed geometry. Source: Alexandria via LeMat-Bulk, functional PBE.

Values from the calculation:
- Volume: 51.8 Å³ per cell
- ρ: 8.35 g cm⁻³
- Space-group type: Pmmm
- Energy of formation from the pure elements: 0.0550 eV per atom
- E: -18.403 eV per cell

Cell: 2.9233 3.6093 4.9131 Å, 90.00 90.00 90.00°
Last column: nearest neighbours and their distance in Å.
Fractional coordinates of all 4 atoms:
Cu1 0.0000 0.0000 0.2420  2 Cu 2.38-2.53, 4 Ni 2.61, 4 As 2.65
Cu2 0.0000 0.0000 0.7580  2 Cu 2.38-2.53, 4 Ni 2.61, 4 As 2.65
Ni1 0.5000 0.5000 0.0000  2 As 2.46, 8 Cu 2.61
As1 0.5000 0.5000 0.5000  2 Ni 2.46, 8 Cu 2.65